(1)
The following is a GGA-PBE calculation of SbPbF2 after structural relaxation, from the Alexandria database.

As for the relative energy among the computed polymorphs: 0.0 kJ/mol of atoms. The crystal system is trigonal.

The structure belongs to space group R-3m (No. 166, hexagonal axes); the cell edges are 3.3434, 3.3434 and 25.6963 Å and the angles 90.00°, 90.00° and 120.00°. The inequivalent atoms are Sb at (0.0000, 0.0000, 0.0000), Pb at (0.0000, 0.0000, 0.5000) and F at (0.0000, 0.0000, 0.0849).

***

(2)
The following is a GGA-PBE calculation of Sb3PbF after structural relaxation, from the Alexandria database.

As for the relative energy among the computed polymorphs: 0.0 kJ/mol of atoms. The crystal system is cubic.

The structure belongs to space group Pm-3m (No. 221); the cell edges are 5.0569, 5.0569 and 5.0569 Å and the angles 90.00°, 90.00° and 90.00°. The inequivalent atoms are Sb at (0.0000, 0.0000, 0.5000), Pb at (0.5000, 0.5000, 0.5000) and F at (0.0000, 0.0000, 0.0000).

***

(3)
The following is a GGA-PBE calculation of SbPb2F after structural relaxation, from the Alexandria database.

As for the relative energy among the computed polymorphs: 7.6 kJ/mol of atoms. The crystal system is tetragonal.

The structure belongs to space group I-42d (No. 122); the cell edges are 6.0474, 6.0474 and 14.4299 Å and the angles 90.00°, 90.00° and 90.00°. The inequivalent atoms are Sb at (0.0000, 0.0000, 0.0000), Pb at (0.1684, 0.2500, 0.6250) and F at (0.0000, 0.0000, 0.5000).

***

(4)
The following is a GGA-PBE calculation of SbPbF6 after structural relaxation, from the Alexandria database.

The uncorrected energy is -4.629 eV/atom. The crystal system is monoclinic.

The structure belongs to space group C2/m (No. 12); the cell edges are 6.1454, 8.1365 and 5.3483 Å and the angles 90.00°, 99.91° and 90.00°. The inequivalent atoms are Sb at (0.0000, 0.0000, 0.0000), Pb at (0.0000, 0.5000, 0.5000), F at (0.1586, 0.1660, 0.2612) and F at (0.2249, 0.5000, 0.1662).